1.
Compound: BaCrP2
Source: Alexandria
Functional: PBE-GGA
Structure: optimized geometry

The calculation puts the volume at 92.2 Å³/cell. As for the raw total energy: -21.4 eV per cell. As for the formation energy from the elements: 0.252 eV per atom. Its relative energy among the computed polymorphs is 849.6 meV/atom.

Cell and atoms, written as POSCAR:
```
BaCrP2
1.0
4.882 -0.036 0.013
-1.063 4.765 0.013
-0.017 -0.021 3.972
P Ba Cr
2 1 1
direct
0.000 0.000 0.000
0.500 0.500 0.000
0.500 0.000 0.500
0.000 0.500 0.500
```

2.
Compound: BaCrP2
Source: Alexandria
Functional: PBE-GGA
Structure: optimized geometry

The calculation puts the volume at 89.9 Å³/cell. As for the raw total energy: -24.4 eV per cell. As for the formation energy from the elements: -0.509 eV per atom. Its relative energy among the computed polymorphs is 88.6 meV/atom.

Cell and atoms, written as POSCAR:
```
BaCrP2
1.0
3.955 -0.226 -0.253
2.166 3.317 -0.253
0.433 0.219 6.568
P Cr Ba
2 1 1
direct
0.125 0.125 0.833
0.125 0.125 0.167
0.792 0.792 0.000
0.458 0.458 0.500
```

3.
Compound: BaCrP2Pb
Source: Alexandria
Functional: PBE-GGA
Structure: optimized geometry

The calculation puts the volume at 178.1 Å³/cell. As for the raw total energy: -20.5 eV per cell. As for the formation energy from the elements: 1.110 eV per atom.

Cell and atoms, written as POSCAR:
```
BaCrP2Pb
1.0
-1.819 0.257 -4.994
-2.270 -5.844 0.527
-4.617 1.954 1.783
Ba P Cr Pb
1 2 1 1
direct
0.000 0.500 0.000
0.000 0.000 0.500
0.500 0.000 0.000
0.500 0.500 0.500
0.000 0.000 0.000
```

4.
Compound: BaCrPPd2
Source: Alexandria
Functional: PBE-GGA
Structure: optimized geometry

The calculation puts the volume at 108.7 Å³/cell. As for the raw total energy: -28.8 eV per cell. As for the formation energy from the elements: -0.283 eV per atom.

Cell and atoms, written as POSCAR:
```
BaCrPPd2
1.0
4.828 0.000 0.000
0.000 4.662 0.000
0.000 0.000 4.828
Cr Ba P Pd
1 1 1 2
direct
0.000 0.500 0.000
0.500 0.500 0.500
0.000 0.000 0.000
0.500 0.000 0.000
0.000 0.000 0.500
```

5.
Compound: RbBaCr2P
Source: Alexandria
Functional: PBE-GGA
Structure: optimized geometry

The calculation puts the volume at 129.2 Å³/cell. As for the raw total energy: -15.0 eV per cell. As for the formation energy from the elements: 2.508 eV per atom.

Cell and atoms, written as POSCAR:
```
RbBaCr2P
1.0
-3.037 -3.208 -1.291
-1.422 -1.006 5.846
-3.287 3.211 -0.247
Cr Rb Ba P
2 1 1 1
direct
0.500 0.000 0.000
0.000 0.000 0.500
0.000 0.000 0.000
0.000 0.500 0.000
0.500 0.500 0.500
```

6.
Compound: BaCrP2Ru
Source: Alexandria
Functional: PBE-GGA
Structure: optimized geometry

The calculation puts the volume at 100.8 Å³/cell. As for the raw total energy: -35.6 eV per cell. As for the formation energy from the elements: -0.788 eV per atom.

Cell and atoms, written as POSCAR:
```
BaCrP2Ru
1.0
4.017 0.000 0.000
0.000 4.017 0.000
-2.009 -2.009 6.247
Ba P Ru Cr
1 2 1 1
direct
0.000 0.000 0.000
0.653 0.653 0.307
0.347 0.347 0.693
0.250 0.750 0.500
0.750 0.250 0.500
```

7.
Compound: BaCr3P4S12
Source: Alexandria
Functional: PBE-GGA
Structure: optimized geometry

The calculation puts the volume at 448.8 Å³/cell. As for the raw total energy: -107.3 eV per cell. As for the raw formation energy: -0.269 eV/atom.

Cell and atoms, written as POSCAR:
```
BaCr3P4S12
1.0
8.009 -0.079 -0.109
-2.006 7.754 -0.109
-2.006 -2.565 7.319
S P Cr Ba
12 4 3 1
direct
0.329 0.671 0.500
0.771 0.059 0.651
0.500 0.329 0.671
0.059 0.651 0.771
0.651 0.771 0.059
0.941 0.229 0.349
0.229 0.349 0.941
0.897 0.500 0.103
0.671 0.500 0.329
0.500 0.103 0.897
0.349 0.941 0.229
0.103 0.897 0.500
0.500 0.500 0.500
0.937 0.063 0.500
0.500 0.937 0.063
0.063 0.500 0.937
0.438 0.000 0.562
0.562 0.438 0.000
0.000 0.562 0.438
0.000 0.000 0.000
```

8.
Compound: BaCrP2S6
Source: Alexandria
Functional: PBE-GGA
Structure: optimized geometry

The calculation puts the volume at 241.2 Å³/cell. As for the raw total energy: -52.7 eV per cell. As for the raw formation energy: -0.559 eV/atom.

Cell and atoms, written as POSCAR:
```
BaCrP2S6
1.0
-1.005 -0.720 5.940
-1.182 -5.517 2.230
6.669 -3.214 3.837
S P Ba Cr
6 2 1 1
direct
0.246 0.889 0.318
0.453 0.754 0.682
0.754 0.111 0.682
0.889 0.547 0.318
0.547 0.246 0.318
0.111 0.453 0.682
0.745 0.745 0.765
0.255 0.255 0.235
0.000 0.000 0.000
0.500 0.500 0.500
```

9.
Compound: BaCrPS2
Source: Alexandria
Functional: PBE-GGA
Structure: optimized geometry

The calculation puts the volume at 108.5 Å³/cell. As for the raw total energy: -28.9 eV per cell. As for the raw formation energy: -0.741 eV/atom. Its relative energy among the computed polymorphs is 0.0 meV/atom.

Cell and atoms, written as POSCAR:
```
BaCrPS2
1.0
4.899 0.000 0.000
0.000 4.899 0.000
0.000 0.000 4.519
P S Cr Ba
1 2 1 1
direct
0.000 0.000 0.500
0.500 0.000 0.000
0.000 0.500 0.000
0.000 0.000 0.000
0.500 0.500 0.500
```

10.
Compound: BaCrPS2
Source: Alexandria
Functional: PBE-GGA
Structure: optimized geometry

The calculation puts the volume at 201.8 Å³/cell. As for the raw total energy: -20.1 eV per cell. As for the raw formation energy: 1.025 eV/atom. Its relative energy among the computed polymorphs is 1765.6 meV/atom.

Cell and atoms, written as POSCAR:
```
BaCrPS2
1.0
5.833 0.000 0.000
0.000 5.833 0.000
0.000 0.000 5.932
S Cr P Ba
2 1 1 1
direct
0.500 0.000 0.000
0.000 0.500 0.000
0.500 0.500 0.500
0.000 0.000 0.500
0.000 0.000 0.000
```

11.
Compound: Ba2CrPSe
Source: Alexandria
Functional: PBE-GGA
Structure: optimized geometry

The calculation puts the volume at 153.5 Å³/cell. As for the raw total energy: -22.5 eV per cell. As for the raw formation energy: -0.019 eV/atom.

Cell and atoms, written as POSCAR:
```
Ba2CrPSe
1.0
5.881 0.000 0.000
0.000 4.438 0.000
0.000 0.000 5.881
P Cr Ba Se
1 1 2 1
direct
0.500 0.500 0.500
0.000 0.000 0.000
0.000 0.000 0.500
0.500 0.000 0.000
0.000 0.500 0.000
```

12.
Compound: BaCrP2Se8
Source: Alexandria
Functional: PBE-GGA
Structure: optimized geometry

The calculation puts the volume at 308.1 Å³/cell. As for the raw total energy: -55.7 eV per cell. As for the raw formation energy: -0.456 eV/atom.

Cell and atoms, written as POSCAR:
```
BaCrP2Se8
1.0
6.218 0.000 0.000
-3.109 5.385 0.000
0.000 0.000 9.202
Cr Ba Se P
1 1 8 2
direct
0.000 0.000 0.500
0.000 0.000 0.000
0.980 0.308 0.668
0.667 0.333 0.034
0.673 0.980 0.332
0.020 0.692 0.332
0.333 0.667 0.966
0.327 0.020 0.668
0.692 0.673 0.668
0.308 0.327 0.332
0.333 0.667 0.727
0.667 0.333 0.273
```